InAg | PBE | relaxed

abc: 5.7949 5.7949 4.7915
angles: 90.00 90.00 120.00
Fractional coordinates of all 6 atoms:
In: 0.0000 0.0000 0.0000
In: 0.3333 0.6667 0.5000
In: 0.6667 0.3333 0.5000
Ag: 0.0000 0.5000 0.0000
Ag: 0.5000 0.0000 0.0000
Ag: 0.5000 0.5000 0.0000

Values from the calculation:
calculated total energy: -16.7 eV/cell
ρ: 7.96 g/cm3

=====

InAg17 | PBE | relaxed

abc: 5.7933 5.7933 32.6250
angles: 90.00 90.00 120.00
Fractional coordinates of all 36 atoms:
In: 0.3333 0.6667 0.3034
In: 0.6667 0.3333 0.6966
Ag: 0.0000 0.0000 0.0000
Ag: 0.0000 0.0000 0.2221
Ag: 0.0000 0.0000 0.7779
Ag: 0.0000 0.5000 0.0000
Ag: 0.0001 0.5001 0.2218
Ag: 0.9999 0.4999 0.7782
Ag: 0.1665 0.3331 0.1480
Ag: 0.1667 0.3333 0.7025
Ag: 0.1668 0.3336 0.9263
Ag: 0.1665 0.8335 0.1480
Ag: 0.1667 0.8333 0.7025
Ag: 0.1668 0.8332 0.9263
Ag: 0.3333 0.1667 0.2975
Ag: 0.3331 0.1665 0.8520
Ag: 0.3333 0.6667 0.0740
Ag: 0.3333 0.6667 0.8523
Ag: 0.3336 0.1668 0.0737
Ag: 0.5000 0.0000 0.0000
Ag: 0.4999 0.9999 0.2218
Ag: 0.5001 0.0001 0.7782
Ag: 0.5000 0.5000 0.0000
Ag: 0.4999 0.5001 0.2218
Ag: 0.5001 0.4999 0.7782
Ag: 0.6664 0.8332 0.9263
Ag: 0.6667 0.3333 0.1477
Ag: 0.6667 0.3333 0.9260
Ag: 0.6669 0.8335 0.1480
Ag: 0.6667 0.8333 0.7025
Ag: 0.8332 0.1668 0.0737
Ag: 0.8333 0.1667 0.2975
Ag: 0.8335 0.1665 0.8520
Ag: 0.8332 0.6664 0.0737
Ag: 0.8333 0.6667 0.2975
Ag: 0.8335 0.6669 0.8520

Values from the calculation:
calculated total energy: -99.8 eV/cell
ρ: 6.82 g/cm3

=====

InAg | PBE | relaxed

abc: 3.4714 3.4714 3.4714
angles: 90.00 90.00 90.00
Fractional coordinates of all 2 atoms:
In: 0.0000 0.0000 0.0000
Ag: 0.5000 0.5000 0.5000

Values from the calculation:
calculated total energy: -5.5 eV/cell
ρ: 8.84 g/cm3

=====

InAg7 | PBE | relaxed

abc: 2.8903 2.8903 42.3523
angles: 90.05 90.05 90.00
Fractional coordinates of all 16 atoms:
In: 0.2500 0.2500 0.1198
In: 0.7500 0.7500 0.8802
Ag: 0.2500 0.2500 0.2287
Ag: 0.2500 0.2500 0.3281
Ag: 0.2498 0.2498 0.4266
Ag: 0.2501 0.2501 0.5244
Ag: 0.2501 0.2501 0.6226
Ag: 0.2500 0.2500 0.7214
Ag: 0.2501 0.2501 0.8221
Ag: 0.7499 0.7499 0.1779
Ag: 0.7500 0.7500 0.2786
Ag: 0.7499 0.7499 0.3774
Ag: 0.7499 0.7499 0.4756
Ag: 0.7502 0.7502 0.5734
Ag: 0.7500 0.7500 0.6719
Ag: 0.7500 0.7500 0.7713

Values from the calculation:
calculated total energy: -44.3 eV/cell
ρ: 8.17 g/cm3

=====

In2Ag | PBE | relaxed

abc: 5.9914 5.9914 5.9914
angles: 60.00 60.00 60.00
Fractional coordinates of all 6 atoms:
In: 0.0000 0.0000 0.0000
In: 0.0000 0.0000 0.5000
In: 0.0000 0.5000 0.0000
In: 0.5000 0.0000 0.0000
Ag: 0.3750 0.3750 0.3750
Ag: 0.6250 0.6250 0.6250

Values from the calculation:
calculated total energy: -14.7 eV/cell
ρ: 7.37 g/cm3

=====

InAg9 | PBE | relaxed

abc: 2.9317 3.9220 38.8347
angles: 90.00 90.00 90.00
Fractional coordinates of all 20 atoms:
In: 0.2500 0.2500 0.1190
In: 0.7500 0.7500 0.8810
Ag: 0.2500 0.2500 0.2048
Ag: 0.2500 0.2500 0.2834
Ag: 0.2500 0.2500 0.3626
Ag: 0.2500 0.2500 0.4413
Ag: 0.2500 0.2500 0.5195
Ag: 0.2500 0.2500 0.5978
Ag: 0.2500 0.2500 0.6769
Ag: 0.2500 0.2500 0.7560
Ag: 0.2500 0.2500 0.8355
Ag: 0.7500 0.7500 0.1645
Ag: 0.7500 0.7500 0.2440
Ag: 0.7500 0.7500 0.3231
Ag: 0.7500 0.7500 0.4022
Ag: 0.7500 0.7500 0.4805
Ag: 0.7500 0.7500 0.5587
Ag: 0.7500 0.7500 0.6374
Ag: 0.7500 0.7500 0.7166
Ag: 0.7500 0.7500 0.7952

Values from the calculation:
ρ: 8.07 g/cm3
energy above the most stable polymorph in this dataset: 7 meV per atom

=====

InAg9 | PBE | relaxed

abc: 2.9220 2.9220 50.2741
angles: 90.00 90.00 90.00
Fractional coordinates of all 20 atoms:
In: 0.2500 0.2500 0.1059
In: 0.7500 0.7500 0.8941
Ag: 0.2500 0.2500 0.1948
Ag: 0.2500 0.2500 0.2761
Ag: 0.2500 0.2500 0.3568
Ag: 0.2500 0.2500 0.4384
Ag: 0.2500 0.2500 0.5206
Ag: 0.2500 0.2500 0.6025
Ag: 0.2500 0.2500 0.6836
Ag: 0.2500 0.2500 0.7644
Ag: 0.2500 0.2500 0.8466
Ag: 0.7500 0.7500 0.1534
Ag: 0.7500 0.7500 0.2356
Ag: 0.7500 0.7500 0.3164
Ag: 0.7500 0.7500 0.3975
Ag: 0.7500 0.7500 0.4794
Ag: 0.7500 0.7500 0.5616
Ag: 0.7500 0.7500 0.6432
Ag: 0.7500 0.7500 0.7239
Ag: 0.7500 0.7500 0.8052

Values from the calculation:
ρ: 8.40 g/cm3
energy above the most stable polymorph in this dataset: 0 meV per atom

=====

In2Ag7 | PBE | relaxed

abc: 2.9824 2.9824 33.3270
angles: 90.00 90.00 120.00
Fractional coordinates of all 9 atoms:
In: 0.3333 0.6667 0.2124
In: 0.6667 0.3333 0.7876
Ag: 0.0000 0.0000 0.2896
Ag: 0.0000 0.0000 0.5000
Ag: 0.0000 0.0000 0.7104
Ag: 0.3333 0.6667 0.4300
Ag: 0.3333 0.6667 0.6399
Ag: 0.6667 0.3333 0.3601
Ag: 0.6667 0.3333 0.5700

Values from the calculation:
calculated total energy: -24.6 eV/cell
ρ: 6.37 g/cm3

=====

Repeat the fourth record exactly.
InAg7 | PBE | relaxed

abc: 2.8903 2.8903 42.3523
angles: 90.05 90.05 90.00
Fractional coordinates of all 16 atoms:
In: 0.2500 0.2500 0.1198
In: 0.7500 0.7500 0.8802
Ag: 0.2500 0.2500 0.2287
Ag: 0.2500 0.2500 0.3281
Ag: 0.2498 0.2498 0.4266
Ag: 0.2501 0.2501 0.5244
Ag: 0.2501 0.2501 0.6226
Ag: 0.2500 0.2500 0.7214
Ag: 0.2501 0.2501 0.8221
Ag: 0.7499 0.7499 0.1779
Ag: 0.7500 0.7500 0.2786
Ag: 0.7499 0.7499 0.3774
Ag: 0.7499 0.7499 0.4756
Ag: 0.7502 0.7502 0.5734
Ag: 0.7500 0.7500 0.6719
Ag: 0.7500 0.7500 0.7713

Values from the calculation:
calculated total energy: -44.3 eV/cell
ρ: 8.17 g/cm3

=====

Q: The lowest ρ belongs to which entry?
A: In2Ag7

=====

Q: Look up the ρ of the seventh one.
A: 8.40 g/cm3

=====

Q: Which of these has the lowest ρ?
A: In2Ag7